1.
First-principles (PBE) data for crystalline Li2NbTe at its relaxed geometry, as listed in the Alexandria database.

**Energy relative to the elements, uncorrected**: 0.22 eV/atom

Cell: 7.6744 7.6744 5.3903 Å, 90.00 90.00 90.00°
Last column: nearest neighbours and their distance in Å.
Space group I-42d (No. 122)
Symmetry-distinct sites (fractional):
Li (0.2240, 0.2500, 0.1250) [8 per cell]  2 Te 2.66, 2 Li 2.72, 2 Nb 2.94
Nb (0.0000, 0.0000, 0.5000) [4 per cell]  2 Te 2.70, 4 Li 2.94
Te (0.0000, 0.0000, 0.0000) [4 per cell]  4 Li 2.66, 2 Nb 2.70


2.
First-principles (PBE) data for crystalline V2TcMo2 at its relaxed geometry, as listed in the Alexandria database.

**E above lowest polymorph**: 0.5839 eV/atom
**Energy of formation**: 0.412 eV per atom

Cell: 3.0357 12.3799 8.5722 Å, 90.00 90.00 90.00°
Last column: nearest neighbours and their distance in Å.
Space group Cmc2_1 (No. 36)
Symmetry-distinct sites (fractional):
V (0.0000, 0.0008, 0.0000) [4 per cell]  2 Tc 2.53, 4 Mo 2.56-2.79
V (0.0000, 0.1507, 0.2497) [4 per cell]  2 Tc 2.57, 2 Mo 2.60, 2 V 2.83-2.85
Tc (0.0000, 0.3359, 0.5090) [4 per cell]  4 V 2.53-2.57, 4 Mo 2.60-2.70
Mo (0.0000, 0.1427, 0.7504) [4 per cell]  2 Mo 2.68, 2 Tc 2.70, 4 V 2.77-2.97
Mo (0.0000, 0.3341, 0.9943) [4 per cell]  4 V 2.56-2.60, 2 Tc 2.60, 2 Mo 2.68


VASP energy for the records above, in order: -4.036, -9.641 eV per atom
Theoretical density for the records above, in order: 4.90, 8.08 g/cm³